A relaxed PrTmZrSc crystal, computed with GGA-PBE.

Results
Space group ... F-43m (216)
DOS(E_F) ... 7.35 states/eV per cell
Calculated formation energy ... 182.9 meV/atom

```
PrTmZrSc
1.0
0.000 3.811 3.811
3.811 0.000 3.811
3.811 3.811 0.000
Pr Tm Zr Sc
1 1 1 1
Direct
0.000 0.000 0.000 Pr
0.750 0.750 0.750 Tm
0.500 0.500 0.500 Zr
0.250 0.250 0.250 Sc
```

A relaxed KMnSb2Pt crystal, computed with GGA-PBE.

Results
Formation energy (no corrections) ... 240 kJ/mol of formula units
Space group ... P4/mmm (123)
DOS(E_F) ... 3.92 states/eV per cell

```
KMnSb2Pt
1.0
5.254 0.000 0.000
0.000 5.254 0.000
0.000 0.000 5.661
K Mn Sb Pt
1 1 2 1
Direct
0.000 0.000 0.000 K
0.500 0.500 0.000 Mn
0.000 0.500 0.500 Sb
0.500 0.000 0.500 Sb
0.000 0.000 0.500 Pt
```

A relaxed Nd2TcB10 crystal, computed with GGA-PBE.

Results
Space group ... Pbam (55)
DOS(E_F) ... 8.43 states/eV per cell
Calculated formation energy ... -428.9 meV/atom

```
Nd2TcB10
1.0
5.794 0.000 0.000
0.000 11.549 0.000
0.000 0.000 4.213
Nd Tc B
4 2 20
Direct
0.218 0.133 0.000 Nd
0.282 0.633 0.000 Nd
0.718 0.367 0.000 Nd
0.782 0.867 0.000 Nd
0.000 0.500 0.500 Tc
0.500 0.000 0.500 Tc
0.062 0.307 0.500 B
0.119 0.958 0.500 B
0.130 0.802 0.500 B
0.225 0.381 0.201 B
0.225 0.381 0.799 B
0.275 0.881 0.201 B
0.275 0.881 0.799 B
0.370 0.302 0.500 B
0.381 0.458 0.500 B
0.438 0.807 0.500 B
0.562 0.193 0.500 B
0.619 0.542 0.500 B
0.630 0.698 0.500 B
0.725 0.119 0.201 B
0.725 0.119 0.799 B
0.775 0.619 0.201 B
0.775 0.619 0.799 B
0.870 0.198 0.500 B
0.881 0.042 0.500 B
0.938 0.693 0.500 B
```

A relaxed ScTa2Au crystal, computed with GGA-PBE.

Results
Space group ... F-43m (216)
DOS(E_F) ... 2.53 states/eV per cell
Calculated formation energy ... -2.5 meV/atom
Energy above the lowest structure with this stoichiometry ... 121.6 meV per atom

```
ScTa2Au
1.0
0.000 3.331 3.331
3.331 0.000 3.331
3.331 3.331 0.000
Sc Ta Au
1 2 1
Direct
0.000 0.000 0.000 Sc
0.250 0.250 0.250 Ta
0.500 0.500 0.500 Ta
0.750 0.750 0.750 Au
```

A relaxed LaSbF crystal, computed with GGA-PBE.

Results
Formation energy (no corrections) ... -573 kJ/mol of formula units
Space group ... I4mm (107)
DOS(E_F) ... 1.06 states/eV per cell
Energy above the lowest structure with this stoichiometry ... 221.1 meV per atom

```
LaSbF
1.0
-1.735 1.735 5.937
1.735 -1.735 5.937
1.735 1.735 -5.937
La Sb F
1 1 1
Direct
0.000 0.000 0.000 La
0.291 0.291 0.000 Sb
0.564 0.564 0.000 F
```

A relaxed SrZn2Co crystal, computed with GGA-PBE.

Results
Space group ... Pmmm (47)
DOS(E_F) ... 3.82 states/eV per cell
Calculated formation energy ... 380.2 meV/atom

```
SrZn2Co
1.0
4.252 0.000 0.000
0.000 4.263 0.000
0.000 0.000 4.533
Sr Zn Co
1 2 1
Direct
0.000 0.000 0.000 Sr
0.000 0.500 0.500 Zn
0.500 0.000 0.500 Zn
0.500 0.500 0.000 Co
```

- Which of these has the highest DOS(E_F)?
  Nd2TcB10